A plane-wave DFT calculation with PBE was carried out for an optimized crystal structure of HoPuSb2.

Energy relative to the elements, uncorrected: -72 kJ per mole of atoms
Polymorph energy (0 for the lowest one): 0.433 eV/f.u.
Total energy: -30.137 eV per formula unit

Cell lengths 7.769, 7.769, 7.769 Å; angles 32.85, 32.85, 32.85 degrees
Fractional positions:
Ho  0.000  0.000  0.000
Pu  0.171  0.171  0.171
Sb  0.585  0.585  0.585
Sb  0.753  0.753  0.753

=====

A plane-wave DFT calculation with PBE was carried out for an optimized crystal structure of Sb2AsBr.

Energy relative to the elements, uncorrected: 24 kJ per mole of atoms
Polymorph energy (0 for the lowest one): 1.198 eV/f.u.
Total energy: -13.582 eV per formula unit

Cell lengths 5.176, 5.176, 5.176 Å; angles 60.00, 60.00, 60.00 degrees
Fractional positions:
Sb  0.250  0.250  0.250
Sb  0.750  0.750  0.750
As  0.000  0.000  0.000
Br  0.500  0.500  0.500

=====

A plane-wave DFT calculation with PBE was carried out for an optimized crystal structure of AcNd12Ho6.

ΔE_f: 13 kJ per mole of atoms
Polymorph energy (0 for the lowest one): 0.000 eV/f.u.
Total energy: -86.203 eV per formula unit

Cell lengths 8.737, 8.737, 8.737 Å; angles 88.71, 88.71, 88.71 degrees
Fractional positions:
Ac  0.000  0.000  0.000
Nd  0.015  0.364  0.200
Nd  0.200  0.015  0.364
Nd  0.221  0.570  0.461
Nd  0.364  0.200  0.015
Nd  0.430  0.539  0.779
Nd  0.461  0.221  0.570
Nd  0.539  0.779  0.430
Nd  0.570  0.461  0.221
Nd  0.636  0.800  0.985
Nd  0.779  0.430  0.539
Nd  0.800  0.985  0.636
Nd  0.985  0.636  0.800
Ho  0.100  0.260  0.695
Ho  0.260  0.695  0.100
Ho  0.305  0.900  0.740
Ho  0.695  0.100  0.260
Ho  0.740  0.305  0.900
Ho  0.900  0.740  0.305